(1)
Compound: PaAlIn2S5
Source: the Alexandria database
Functional: PBE
Structure: optimized geometry

Calculated values
The calculation puts the density of states at the Fermi level at 0.03 states/eV per atom. The uncorrected formation energy comes out at -0.95 eV/atom. The total magnetization is 0.09 μB per formula unit. As for the space-group type: Cmc2_1 (36). For the total energy, the calculation gives -95.8 eV/cell.

a b c (Å): 9.314 9.314 13.673
angles (deg): 90.00 90.00 155.33
Element x y z (fractional)
Pa (0.212, 0.788, 0.500)
Pa (0.788, 0.212, 0.000)
Al (0.433, 0.567, 0.894)
Al (0.567, 0.433, 0.394)
In (0.105, 0.895, 0.132)
In (0.113, 0.887, 0.796)
In (0.887, 0.113, 0.296)
In (0.895, 0.105, 0.632)
S (0.057, 0.943, 0.489)
S (0.282, 0.718, 0.124)
S (0.308, 0.692, 0.865)
S (0.348, 0.652, 0.473)
S (0.498, 0.502, 0.761)
S (0.502, 0.498, 0.261)
S (0.652, 0.348, 0.973)
S (0.692, 0.308, 0.365)
S (0.718, 0.282, 0.624)
S (0.943, 0.057, 0.989)

(2)
Compound: ScPaAlIn
Source: the Alexandria database
Functional: PBE
Structure: optimized geometry

Calculated values
The calculation puts the density of states at the Fermi level at 1.87 states/eV per atom. The total magnetization is 0.87 μB per formula unit. As for the space-group type: F-43m (216). For the total energy, the calculation gives -22.6 eV/cell. For the energy of formation, the calculation gives -0.32 eV/f.u.

a b c (Å): 5.084 5.084 5.084
angles (deg): 60.00 60.00 60.00
Element x y z (fractional)
Sc (0.000, 0.000, 0.000)
Pa (0.500, 0.500, 0.500)
Al (0.750, 0.750, 0.750)
In (0.250, 0.250, 0.250)

What is the total magnetization in the second record? 0.87 μB per formula unit

Look up the total magnetization of the second one. 0.87 μB per formula unit

Which formula does entry 2 have? ScPaAlIn

Among the records above, which one has the lowest total magnetization? PaAlIn2S5